# 1
The following is a meta-GGA SCAN calculation of a PBEsol-optimized structure of KSe2Br, from Alexandria.

Calculated values
* density of states at the Fermi level: 2.3 states/eV/cell
* magnetization: 0.0 μB per cell
* energy relative to the lowest polymorph listed for this composition: 0.00 eV per formula unit
* symmetry: I4/mmm

a = 4.010 Å, b = 4.010 Å, c = 7.649 Å
α = 105.20°, β = 105.20°, γ = 90.00°
Fractional coordinates of all 4 atoms:
Se1 0.750 0.250 0.500
Se2 0.250 0.750 0.500
K1 0.000 0.000 0.000
Br1 0.500 0.500 0.000

***

# 2
The following is a meta-GGA SCAN calculation of a PBEsol-optimized structure of NbTeBr2, from Alexandria.

Calculated values
* density of states at the Fermi level: 1.8 states/eV/cell
* magnetization: 2.0 μB per cell
* energy relative to the lowest polymorph listed for this composition: 0.02 eV per formula unit
* symmetry: I-42d

a = 5.378 Å, b = 7.001 Å, c = 7.001 Å
α = 81.52°, β = 67.41°, γ = 67.41°
Each line ends with the local moment (μB).
Fractional coordinates of all 8 atoms:
Nb1 0.500 0.000 0.000  1.18
Nb2 0.250 0.500 0.500  1.18
Br1 0.246 0.879 0.379  -0.04
Br2 0.875 0.621 0.879  -0.04
Br3 0.375 0.379 0.121  -0.04
Br4 0.504 0.121 0.621  -0.04
Te1 0.750 0.500 0.500  -0.25
Te2 0.000 0.000 0.000  -0.25

***

# 3
The following is a meta-GGA SCAN calculation of a PBEsol-optimized structure of RbFePb2O, from Alexandria.

Calculated values
* density of states at the Fermi level: 2.3 states/eV/cell
* magnetization: 0.9 μB per cell
* symmetry: P4/mmm
* uncorrected energy: -38.937 eV per atom

a = 4.888 Å, b = 4.888 Å, c = 5.646 Å
α = 90.00°, β = 90.00°, γ = 90.00°
Each line ends with the local moment (μB).
Fractional coordinates of all 5 atoms:
Pb1 0.000 0.500 0.000  -0.06
Pb2 0.500 0.000 0.000  -0.06
Fe1 0.000 0.000 0.000  1.82
O1 0.500 0.500 0.500  -0.69
Rb1 0.000 0.000 0.500  0.03

***

# 4
The following is a meta-GGA SCAN calculation of a PBEsol-optimized structure of TiSb3H, from Alexandria.

Calculated values
* density of states at the Fermi level: 4.4 states/eV/cell
* magnetization: 1.9 μB per cell
* symmetry: Pm-3m
* uncorrected energy: -25.786 eV per atom

a = 4.596 Å, b = 4.596 Å, c = 4.596 Å
α = 90.00°, β = 90.00°, γ = 90.00°
Each line ends with the local moment (μB).
Fractional coordinates of all 5 atoms:
Ti1 0.500 0.500 0.500  1.53
Sb1 0.500 0.000 0.000  -0.01
Sb2 0.000 0.500 0.000  -0.01
Sb3 0.000 0.000 0.500  -0.01
H1 0.000 0.000 0.000  0.00

***

# 5
The following is a meta-GGA SCAN calculation of a PBEsol-optimized structure of PtRhBr, from Alexandria.

Calculated values
* magnetization: 0.0 μB per cell
* energy relative to the lowest polymorph listed for this composition: 0.00 eV per formula unit
* symmetry: P3m1

a = 3.612 Å, b = 3.612 Å, c = 4.842 Å
α = 90.00°, β = 90.00°, γ = 120.00°
Fractional coordinates of all 3 atoms:
Br1 0.000 0.000 0.049
Pt1 0.333 0.667 0.621
Rh1 0.667 0.333 0.330

***

# 6
The following is a meta-GGA SCAN calculation of a PBEsol-optimized structure of NiMoIr2, from Alexandria.

Calculated values
* density of states at the Fermi level: 3.6 states/eV/cell
* magnetization: 0.5 μB per cell
* energy relative to the elements: -0.227 eV per atom
* energy relative to the lowest polymorph listed for this composition: 0.17 eV per formula unit
* symmetry: Pmmm

a = 2.709 Å, b = 3.704 Å, c = 5.379 Å
α = 90.00°, β = 90.00°, γ = 90.00°
Each line ends with the local moment (μB).
Fractional coordinates of all 4 atoms:
Ir1 0.000 0.000 0.740  0.09
Ir2 0.000 0.000 0.260  0.09
Mo1 0.500 0.500 0.000  -0.07
Ni1 0.500 0.500 0.500  0.48